{"formula": "BeSnTe2I", "functional": "PBE-GGA", "state": "optimized geometry", "de_polymorph_mev_per_atom": 679, "vol_a3_per_cell": 195.5, "e_tot_ry_per_atom": -0.167, "lattice": [[5.743, 0.000, 0.000], [0.000, 5.743, 0.000], [0.000, 0.000, 5.928]], "species": ["Be", "Sn", "Te", "Te", "I"], "frac_coords": [[0.000, 0.000, 0.000], [0.500, 0.500, 0.500], [0.000, 0.500, 0.500], [0.500, 0.000, 0.500], [0.500, 0.500, 0.000]]}